Sc3ZnIr at its PBEsol-relaxed geometry. Source: the Alexandria database, functional meta-GGA SCAN.

Cell and atoms, written as CIF:
```
data_Sc3ZnIr
_cell_length_a 4.964
_cell_length_b 4.964
_cell_length_c 4.964
_cell_angle_alpha 90.00
_cell_angle_beta 90.00
_cell_angle_gamma 90.00
_space_group_name_H-M_alt 'P m -3 m'
_space_group_IT_number 221
_space_group_name_Hall '-P 4 2 3'
loop_
_atom_site_label
_atom_site_fract_x
_atom_site_fract_y
_atom_site_fract_z
_atom_site_occupancy
Sc1 0.000 0.000 0.500 1
Zn1 0.500 0.500 0.500 1
Ir1 0.000 0.000 0.000 1
```

Results
The value obtained for the formation energy is -265 meV per atom. Its total energy is -25.7306 eV/atom.

***

Ta3SbP6O24 at its PBEsol-relaxed geometry. Source: the Alexandria database, functional meta-GGA SCAN.

Cell and atoms, written as CIF:
```
data_Ta3SbP6O24
_cell_length_a 8.7584
_cell_length_b 8.7584
_cell_length_c 22.4715
_cell_angle_alpha 90.00
_cell_angle_beta 90.00
_cell_angle_gamma 120.00
_space_group_name_H-M_alt 'R 3'
_space_group_IT_number 146
_space_group_name_Hall 'R 3'
loop_
_atom_site_label
_atom_site_fract_x
_atom_site_fract_y
_atom_site_fract_z
_atom_site_occupancy
Ta1 0.0000 0.0000 0.0000 1
Ta2 0.0000 0.0000 0.2168 1
Ta3 0.0000 0.0000 0.4993 1
Sb1 0.0000 0.0000 0.7189 1
P1 0.0000 0.7139 0.6073 1
P2 0.0201 0.2823 0.1079 1
O1 0.0212 0.8260 0.5511 1
O2 0.0386 0.1927 0.1642 1
O3 0.0648 0.2053 0.0525 1
O4 0.0738 0.2460 0.7713 1
O5 0.1503 0.6831 0.9283 1
O6 0.1669 0.4781 0.1143 1
O7 0.1703 0.7313 0.3266 1
O8 0.1805 0.7238 0.6188 1
```

Results
For the uncorrected formation energy, the calculation gives -2580 meV per atom. Its total energy is -15.7848 eV/atom.

***

SmP3O9 at its PBEsol-relaxed geometry. Source: the Alexandria database, functional meta-GGA SCAN.

Cell and atoms, written as CIF:
```
data_SmP3O9
_cell_length_a 8.456
_cell_length_b 11.123
_cell_length_c 7.246
_cell_angle_alpha 90.00
_cell_angle_beta 90.00
_cell_angle_gamma 90.00
_space_group_name_H-M_alt 'C 2 2 21'
_space_group_IT_number 20
_space_group_name_Hall 'C 2c 2'
loop_
_atom_site_label
_atom_site_fract_x
_atom_site_fract_y
_atom_site_fract_z
_atom_site_occupancy
Sm1 0.121 0.000 0.000 1
P1 0.013 0.324 0.544 1
P2 0.250 0.000 0.500 1
O1 0.000 0.375 0.750 1
O2 0.017 0.193 0.964 1
O3 0.138 0.390 0.047 1
O4 0.150 0.020 0.330 1
O5 0.161 0.374 0.462 1
```

Results
For the uncorrected formation energy, the calculation gives -2791 meV per atom. Its total energy is -12.9232 eV/atom.

***

Ta2IrRu at its PBEsol-relaxed geometry. Source: the Alexandria database, functional meta-GGA SCAN.

Cell and atoms, written as CIF:
```
data_Ta2IrRu
_cell_length_a 4.137
_cell_length_b 4.137
_cell_length_c 7.281
_cell_angle_alpha 90.00
_cell_angle_beta 90.00
_cell_angle_gamma 90.00
_space_group_name_H-M_alt 'I 4/m m m'
_space_group_IT_number 139
_space_group_name_Hall '-I 4 2'
loop_
_atom_site_label
_atom_site_fract_x
_atom_site_fract_y
_atom_site_fract_z
_atom_site_occupancy
Ta1 0.000 0.500 0.250 1
Ir1 0.000 0.000 0.000 1
Ru1 0.000 0.000 0.500 1
```

Results
The value obtained for the formation energy is -535 meV per atom. Its total energy is -60.3084 eV/atom.

***

ZrScAl2H at its PBEsol-relaxed geometry. Source: the Alexandria database, functional meta-GGA SCAN.

Cell and atoms, written as CIF:
```
data_ZrScAl2H
_cell_length_a 5.211
_cell_length_b 5.211
_cell_length_c 5.058
_cell_angle_alpha 90.00
_cell_angle_beta 90.00
_cell_angle_gamma 90.00
_space_group_name_H-M_alt 'P 4/m m m'
_space_group_IT_number 123
_space_group_name_Hall '-P 4 2'
loop_
_atom_site_label
_atom_site_fract_x
_atom_site_fract_y
_atom_site_fract_z
_atom_site_occupancy
Zr1 0.000 0.000 0.000 1
Sc1 0.000 0.000 0.500 1
Al1 0.000 0.500 0.000 1
H1 0.500 0.500 0.500 1
```

Results
Its total energy is -11.3662 eV/atom.

***

MgTl2In at its PBEsol-relaxed geometry. Source: the Alexandria database, functional meta-GGA SCAN.

Cell and atoms, written as CIF:
```
data_MgTl2In
_cell_length_a 4.669
_cell_length_b 4.669
_cell_length_c 9.342
_cell_angle_alpha 90.00
_cell_angle_beta 90.00
_cell_angle_gamma 90.00
_space_group_name_H-M_alt 'I 4/m m m'
_space_group_IT_number 139
_space_group_name_Hall '-I 4 2'
loop_
_atom_site_label
_atom_site_fract_x
_atom_site_fract_y
_atom_site_fract_z
_atom_site_occupancy
Mg1 0.000 0.000 0.000 1
Tl1 0.000 0.500 0.250 1
In1 0.000 0.000 0.500 1
```

Results
The value obtained for the formation energy is -1 meV per atom. Its total energy is -45.7697 eV/atom.

***

Table of total moment (μB per atom), in record order: 0.0000, 0.0000, 0.0000, 0.0029, 0.3987, 0.0000